# 1
First-principles (PBEsol) data for a relaxed MgBAsCl2 crystal, as listed in Alexandria.

Values from the calculation:
Its density of states at the Fermi level is 2.7 states/eV/cell. The space group is No. 123. The value obtained for the formation energy without anion corrections is 0.83 eV per formula unit. The calculation puts the magnetic moment at 0.0 Bohr magnetons per cell.

Lattice parameters (Å, degrees): 4.2771 4.2771 4.7428 90.00 90.00 90.00
With the nearest neighbours (Å) after each atom.
Fractional positions:
1 As 0.0000 0.0000 0.5000  2 B 2.37
2 B 0.0000 0.0000 0.0000  4 Cl 2.14, 2 As 2.37
3 Mg 0.5000 0.5000 0.5000  4 As 3.02, 8 Cl 3.19
4 Cl 0.0000 0.5000 0.0000  2 B 2.14
5 Cl 0.5000 0.0000 0.0000  2 B 2.14



# 2
First-principles (PBEsol) data for a relaxed BSbAsCl2 crystal, as listed in Alexandria.

Values from the calculation:
Its density of states at the Fermi level is 2.2 states/eV/cell. The space group is No. 123. The value obtained for the formation energy without anion corrections is 2.15 eV per formula unit. The calculation puts the magnetic moment at 0.0 Bohr magnetons per cell.

Lattice parameters (Å, degrees): 4.2336 4.2336 5.0426 90.00 90.00 90.00
With the nearest neighbours (Å) after each atom.
Fractional positions:
1 Sb 0.0000 0.0000 0.5000  2 B 2.52
2 As 0.5000 0.5000 0.5000  4 Sb 2.99, 8 Cl 3.29
3 B 0.0000 0.0000 0.0000  4 Cl 2.12
4 Cl 0.0000 0.5000 0.0000  2 B 2.12
5 Cl 0.5000 0.0000 0.0000  2 B 2.12



# 3
First-principles (PBEsol) data for a relaxed CoB3As crystal, as listed in Alexandria.

Values from the calculation:
Its density of states at the Fermi level is 3.1 states/eV/cell. Its energy relative to the elements is 1.108 eV per atom. The space group is No. 221. The calculation puts the magnetic moment at 0.0 Bohr magnetons per cell.

Lattice parameters (Å, degrees): 3.7929 3.7929 3.7929 90.00 90.00 90.00
With the nearest neighbours (Å) after each atom.
Fractional positions:
1 As 0.5000 0.5000 0.5000  12 B 2.68
2 B 0.0000 0.5000 0.0000  2 Co 1.90
3 B 0.0000 0.0000 0.5000  2 Co 1.90
4 B 0.5000 0.0000 0.0000  2 Co 1.90
5 Co 0.0000 0.0000 0.0000  6 B 1.90